DFT (PBE-GGA) results for Ho5Zn2Pb after structural relaxation.

Values from the calculation:
SG	No. 140
energy of formation from the pure elements	-32	kJ per mole of atoms

```
data_Ho5Zn2Pb
_chemical_formula_sum 'Ho10 Zn4 Pb2'
_cell_length_a 8.612
_cell_length_b 8.612
_cell_length_c 8.612
_cell_angle_alpha 123.98
_cell_angle_beta 123.98
_cell_angle_gamma 83.24
_space_group_name_H-M_alt 'P 1'
_space_group_IT_number 1
loop_
_space_group_symop_operation_xyz
'x,y,z'
loop_
_atom_site_label
_atom_site_type_symbol
_atom_site_fract_x
_atom_site_fract_y
_atom_site_fract_z
Ho1 Ho 0.000 0.000 0.000
Ho2 Ho 0.009 0.509 0.807
Ho3 Ho 0.202 0.009 0.500
Ho4 Ho 0.298 0.798 0.807
Ho5 Ho 0.491 0.298 0.500
Ho6 Ho 0.500 0.500 0.000
Ho7 Ho 0.509 0.702 0.500
Ho8 Ho 0.702 0.202 0.193
Ho9 Ho 0.798 0.991 0.500
Ho10 Ho 0.991 0.491 0.193
Zn1 Zn 0.138 0.362 0.500
Zn2 Zn 0.362 0.862 0.225
Zn3 Zn 0.638 0.138 0.775
Zn4 Zn 0.862 0.638 0.500
Pb1 Pb 0.250 0.250 0.000
Pb2 Pb 0.750 0.750 0.000
```


DFT (PBE-GGA) results for Ho2ZnPb after structural relaxation.

Values from the calculation:
SG	No. 166
energy of formation from the pure elements	-2	kJ per mole of atoms

```
data_Ho2ZnPb
_chemical_formula_sum 'Ho6 Zn3 Pb3'
_cell_length_a 3.508
_cell_length_b 3.508
_cell_length_c 32.388
_cell_angle_alpha 90.00
_cell_angle_beta 90.00
_cell_angle_gamma 120.00
_space_group_name_H-M_alt 'P 1'
_space_group_IT_number 1
loop_
_space_group_symop_operation_xyz
'x,y,z'
loop_
_atom_site_label
_atom_site_type_symbol
_atom_site_fract_x
_atom_site_fract_y
_atom_site_fract_z
Ho1 Ho 0.000 0.000 0.098
Ho2 Ho 0.000 0.000 0.902
Ho3 Ho 0.333 0.667 0.568
Ho4 Ho 0.333 0.667 0.765
Ho5 Ho 0.667 0.333 0.235
Ho6 Ho 0.667 0.333 0.432
Zn1 Zn 0.000 0.000 0.500
Zn2 Zn 0.333 0.667 0.167
Zn3 Zn 0.667 0.333 0.833
Pb1 Pb 0.000 0.000 0.000
Pb2 Pb 0.333 0.667 0.667
Pb3 Pb 0.667 0.333 0.333
```


DFT (PBE-GGA) results for Ho2Zn2Pb after structural relaxation.

Values from the calculation:
relative energy among the computed polymorphs	0.0	meV/atom
SG	No. 65
energy of formation from the pure elements	-39	kJ per mole of atoms

```
data_Ho2Zn2Pb
_chemical_formula_sum 'Ho4 Zn4 Pb2'
_cell_length_a 4.481
_cell_length_b 14.296
_cell_length_c 3.587
_cell_angle_alpha 90.00
_cell_angle_beta 90.00
_cell_angle_gamma 90.00
_space_group_name_H-M_alt 'P 1'
_space_group_IT_number 1
loop_
_space_group_symop_operation_xyz
'x,y,z'
loop_
_atom_site_label
_atom_site_type_symbol
_atom_site_fract_x
_atom_site_fract_y
_atom_site_fract_z
Ho1 Ho 0.000 0.128 0.000
Ho2 Ho 0.000 0.872 0.000
Ho3 Ho 0.500 0.372 0.000
Ho4 Ho 0.500 0.628 0.000
Zn1 Zn 0.000 0.294 0.500
Zn2 Zn 0.000 0.706 0.500
Zn3 Zn 0.500 0.206 0.500
Zn4 Zn 0.500 0.794 0.500
Pb1 Pb 0.000 0.500 0.500
Pb2 Pb 0.500 0.000 0.500
```